[1]
VASP calculation (PBE) on a relaxed structure of Ta2V2H5.

Cell and atoms, written as CIF:
```
data_Ta2V2H5
_chemical_formula_sum 'Ta4 V4 H10'
_cell_length_a 10.6949
_cell_length_b 3.1666
_cell_length_c 4.7790
_cell_angle_alpha 90.00
_cell_angle_beta 110.23
_cell_angle_gamma 90.00
_symmetry_space_group_name_H-M 'C 1 2/m 1'
_symmetry_Int_Tables_number 12
_symmetry_space_group_name_Hall '-C 2y'
loop_
_atom_site_label
_atom_site_type_symbol
_atom_site_fract_x
_atom_site_fract_y
_atom_site_fract_z
Ta1 Ta 0.1064 0.0000 0.3179
V1 V 0.1218 0.5000 0.8169
H1 H 0.0000 0.5000 0.0000
H2 H 0.1916 0.0000 0.0165
H3 H 0.1951 0.5000 0.5345
```

Computed properties:
Fermi-level density of states   7.74 states/eV per cell
Calculated total energy   -120.0 eV/cell


[2]
VASP calculation (PBE) on a relaxed structure of Tl2HgRh.

Cell and atoms, written as CIF:
```
data_Tl2HgRh
_chemical_formula_sum 'Tl8 Hg4 Rh4'
_cell_length_a 7.0943
_cell_length_b 7.0943
_cell_length_c 7.0943
_cell_angle_alpha 90.00
_cell_angle_beta 90.00
_cell_angle_gamma 90.00
_symmetry_space_group_name_H-M 'F m -3 m'
_symmetry_Int_Tables_number 225
_symmetry_space_group_name_Hall '-F 4 2 3'
loop_
_atom_site_label
_atom_site_type_symbol
_atom_site_fract_x
_atom_site_fract_y
_atom_site_fract_z
Tl1 Tl 0.2500 0.2500 0.2500
Hg1 Hg 0.0000 0.0000 0.0000
Rh1 Rh 0.0000 0.0000 0.5000
```

Computed properties:
Fermi-level density of states   7.21 states/eV per cell
Calculated total energy   -44.6 eV/cell
Energy relative to the elements   0.310 eV per atom
E above lowest polymorph   25.1 kJ per mole of atoms


[3]
VASP calculation (PBE) on a relaxed structure of Pa3H.

Cell and atoms, written as CIF:
```
data_Pa3H
_chemical_formula_sum 'Pa3 H1'
_cell_length_a 4.3045
_cell_length_b 4.3045
_cell_length_c 4.3045
_cell_angle_alpha 90.00
_cell_angle_beta 90.00
_cell_angle_gamma 90.00
_symmetry_space_group_name_H-M 'P m -3 m'
_symmetry_Int_Tables_number 221
_symmetry_space_group_name_Hall '-P 4 2 3'
loop_
_atom_site_label
_atom_site_type_symbol
_atom_site_fract_x
_atom_site_fract_y
_atom_site_fract_z
Pa1 Pa 0.0000 0.0000 0.5000
H1 H 0.5000 0.5000 0.5000
```

Computed properties:
Fermi-level density of states   5.93 states/eV per cell
Calculated total energy   -29.8 eV/cell
E above lowest polymorph   48.1 kJ per mole of atoms


[4]
VASP calculation (PBE) on a relaxed structure of BaMoBr.

Cell and atoms, written as CIF:
```
data_BaMoBr
_chemical_formula_sum 'Ba4 Mo4 Br4'
_cell_length_a 7.6672
_cell_length_b 7.6672
_cell_length_c 7.6672
_cell_angle_alpha 90.00
_cell_angle_beta 90.00
_cell_angle_gamma 90.00
_symmetry_space_group_name_H-M 'F -4 3 m'
_symmetry_Int_Tables_number 216
_symmetry_space_group_name_Hall 'F -4 2 3'
loop_
_atom_site_label
_atom_site_type_symbol
_atom_site_fract_x
_atom_site_fract_y
_atom_site_fract_z
Ba1 Ba 0.0000 0.0000 0.0000
Mo1 Mo 0.0000 0.0000 0.5000
Br1 Br 0.2500 0.2500 0.7500
```

Computed properties:
Fermi-level density of states   3.08 states/eV per cell
Calculated total energy   -49.9 eV/cell
E above lowest polymorph   11.8 kJ per mole of atoms


[5]
VASP calculation (PBE) on a relaxed structure of CdSi2Ni.

Cell and atoms, written as CIF:
```
data_CdSi2Ni
_chemical_formula_sum 'Cd2 Si4 Ni2'
_cell_length_a 5.2658
_cell_length_b 9.4700
_cell_length_c 2.9795
_cell_angle_alpha 90.00
_cell_angle_beta 123.02
_cell_angle_gamma 90.00
_symmetry_space_group_name_H-M 'C 1 2/m 1'
_symmetry_Int_Tables_number 12
_symmetry_space_group_name_Hall '-C 2y'
loop_
_atom_site_label
_atom_site_type_symbol
_atom_site_fract_x
_atom_site_fract_y
_atom_site_fract_z
Cd1 Cd 0.0000 0.0000 0.0000
Si1 Si 0.2500 0.2500 0.0000
Ni1 Ni 0.0000 0.5000 0.0000
```

Computed properties:
Fermi-level density of states   4.25 states/eV per cell
Calculated total energy   -32.1 eV/cell


[6]
VASP calculation (PBE) on a relaxed structure of SrY3Ir.

Cell and atoms, written as CIF:
```
data_SrY3Ir
_chemical_formula_sum 'Sr2 Y6 Ir2'
_cell_length_a 4.5403
_cell_length_b 4.5403
_cell_length_c 22.8185
_cell_angle_alpha 90.00
_cell_angle_beta 90.00
_cell_angle_gamma 120.00
_symmetry_space_group_name_H-M 'P 63/m m c'
_symmetry_Int_Tables_number 194
_symmetry_space_group_name_Hall '-P 6c 2c'
loop_
_atom_site_label
_atom_site_type_symbol
_atom_site_fract_x
_atom_site_fract_y
_atom_site_fract_z
Sr1 Sr 0.0000 0.0000 0.0000
Y1 Y 0.0000 0.0000 0.2500
Y2 Y 0.3333 0.6667 0.1321
Ir1 Ir 0.3333 0.6667 0.2500
```

Computed properties:
Fermi-level density of states   9.87 states/eV per cell
Calculated total energy   -58.8 eV/cell
Energy relative to the elements   0.104 eV per atom
E above lowest polymorph   45.8 kJ per mole of atoms